A plane-wave DFT calculation with GGA-PBE was carried out for a relaxed Mg4Fe crystal.

Cell lengths 8.166, 8.166, 8.166 Å; angles 153.26, 153.26, 38.17 degrees
Sites, in units of the cell vectors:
Mg 0.411 0.411 0.000
Fe 0.000 0.000 0.000
Mg 0.750 0.250 0.500
Mg 0.589 0.589 0.000
Mg 0.250 0.750 0.500

## Properties
- Formation energy from the elements: 0.570 eV/atom
- Offset from the most stable computed form: 49 meV per atom
- Total magnetic moment: 2.717 μB/f.u.
- Electronic total energy: -2.40 eV per atom

A plane-wave DFT calculation with GGA-PBE was carried out for a relaxed Mg2Fe crystal.

Cell lengths 2.927, 2.927, 7.092 Å; angles 90.00, 90.00, 120.00 degrees
Sites, in units of the cell vectors:
Mg 0.333 0.667 0.307
Mg 0.667 0.333 0.693
Fe 0.000 0.000 0.000

## Properties
- Formation energy from the elements: 0.261 eV/atom
- Total magnetic moment: 2.417 μB/f.u.
- Electronic total energy: -3.62 eV per atom